Material: NpCd2RhO6
Method: DFT, PBE
State: optimized geometry

Unit cell a=5.589 b=5.686 c=9.813 alpha=90.00 beta=124.58 gamma=90.00
Space group P2_1/c (No. 14)
Inequivalent atoms, fractional coordinates:
Np1 0.000 0.000 0.000 [2 per cell]
Cd1 0.244 0.043 0.750 [4 per cell]
Rh1 0.500 0.000 0.500 [2 per cell]
O1 0.138 0.189 0.443 [4 per cell]
O2 0.258 0.698 0.443 [4 per cell]
O3 0.367 0.054 0.257 [4 per cell]

- Size of the total moment: 4.00 Bohr magnetons per cell
- Calculated volume: 256.8 Å³ per cell
- Formation energy (no corrections): -1589 meV/atom